# Ta2VF, relaxed, DFT PBE+U
data_Ta2VF
_symmetry_space_group_name_H-M 'P 1'
_symmetry_Int_Tables_number 1
_cell_length_a 6.3032
_cell_length_b 6.3032
_cell_length_c 6.3032
_cell_angle_alpha 90.00
_cell_angle_beta 90.00
_cell_angle_gamma 90.00
loop_
_symmetry_equiv_pos_as_xyz
'x,y,z'
loop_
_atom_site_label
_atom_site_type_symbol
_atom_site_fract_x
_atom_site_fract_y
_atom_site_fract_z
Ta1 Ta 0.2500 0.2500 0.2500
Ta2 Ta 0.2500 0.2500 0.7500
Ta3 Ta 0.2500 0.7500 0.2500
Ta4 Ta 0.2500 0.7500 0.7500
Ta5 Ta 0.7500 0.2500 0.2500
Ta6 Ta 0.7500 0.2500 0.7500
Ta7 Ta 0.7500 0.7500 0.2500
Ta8 Ta 0.7500 0.7500 0.7500
V1 V 0.0000 0.0000 0.0000
V2 V 0.0000 0.5000 0.5000
V3 V 0.5000 0.0000 0.5000
V4 V 0.5000 0.5000 0.0000
F1 F 0.0000 0.0000 0.5000
F2 F 0.0000 0.5000 0.0000
F3 F 0.5000 0.0000 0.0000
F4 F 0.5000 0.5000 0.5000
# excess energy over the best structure of this formula in the dataset = 0.0 meV per atom
# V = 250 Å³ per cell
# density of states at the Fermi level = 4.41 states/eV/f.u.